1.
Here is a relaxed structure of KGa2Pt2 from OQMD. Energies are from PBE.

Summary:
- offset from the most stable computed form (eV per formula unit) = 0.321
- total moment (μB/cell) = 0.00

Cell: 4.3868 4.3868 10.8238 Å, 90.00 90.00 90.00°
Last column: nearest neighbours and their distance in Å.
Space group I4/mmm (No. 139)
Symmetry-distinct sites (fractional):
K: 0.0000 0.0000 0.0000 [2 per cell]  8 Pt 3.39, 8 Ga 3.48
Ga: 0.0000 0.5000 0.2500 [4 per cell]  4 Pt 2.57
Pt: 0.0000 0.0000 0.3733 [4 per cell]  4 Ga 2.57, 1 Pt 2.74

***

2.
Here is a relaxed structure of CsGe2Pt2 from OQMD. Energies are from PBE.

Summary:
- total moment (μB/cell) = 0.03
- total DFT energy (no corrections) (eV per atom) = -4.894

Cell: 4.0992 4.0992 15.2489 Å, 90.00 90.00 90.00°
Last column: nearest neighbours and their distance in Å.
Space group I4/mmm (No. 139)
Symmetry-distinct sites (fractional):
Cs: 0.0000 0.0000 0.0000 [2 per cell]  8 Ge 3.73, 4 Cs 4.10
Ge: 0.0000 0.0000 0.3463 [4 per cell]  4 Pt 2.52
Pt: 0.0000 0.5000 0.2500 [4 per cell]  4 Ge 2.52

***

3.
Here is a relaxed structure of CoSiPt2 from OQMD. Energies are from PBE.

Summary:
- total moment (μB/cell) = 5.42
- total DFT energy (no corrections) (eV per atom) = -6.239

Cell: 6.0588 6.0588 6.0588 Å, 90.00 90.00 90.00°
Last column: nearest neighbours and their distance in Å.
Space group F-43m (No. 216)
Symmetry-distinct sites (fractional):
Co: 0.0000 0.0000 0.0000 [4 per cell]  4 Pt 2.62, 4 Si 2.62
Si: 0.2500 0.2500 0.7500 [4 per cell]  4 Co 2.62, 4 Pt 2.62
Pt: 0.0000 0.0000 0.5000 [4 per cell]  4 Pt 2.62, 4 Si 2.62
Pt: 0.2500 0.2500 0.2500 [4 per cell]  4 Co 2.62, 4 Pt 2.62

***

4.
Here is a relaxed structure of Be2BIr from OQMD. Energies are from PBE.

Summary:
- total moment (μB/cell) = 0.02
- total DFT energy (no corrections) (eV per atom) = -5.735

Cell: 5.2964 5.2964 5.2964 Å, 90.00 90.00 90.00°
Last column: nearest neighbours and their distance in Å.
Space group F-43m (No. 216)
Symmetry-distinct sites (fractional):
Be: 0.0000 0.0000 0.0000 [4 per cell]  4 Be 2.29, 4 Ir 2.29
Be: 0.2500 0.2500 0.2500 [4 per cell]  4 Be 2.29, 4 B 2.29
B: 0.0000 0.0000 0.5000 [4 per cell]  4 Ir 2.29, 4 Be 2.29
Ir: 0.2500 0.2500 0.7500 [4 per cell]  4 Be 2.29, 4 B 2.29

***

5.
Here is a relaxed structure of CdS from OQMD. Energies are from PBE.

Summary:
- total DFT energy (no corrections) (eV per atom) = -2.986

Cell: 3.8808 3.8808 6.4214 Å, 90.00 90.00 120.00°
Last column: nearest neighbours and their distance in Å.
Space group P6_3/mmc (No. 194)
Symmetry-distinct sites (fractional):
Cd: 0.0000 0.0000 0.0000 [2 per cell]  6 S 2.76
S: 0.3333 0.6667 0.2500 [2 per cell]  6 Cd 2.76

***

6.
Here is a relaxed structure of TmHfB from OQMD. Energies are from PBE.

Summary:
- offset from the most stable computed form (eV per formula unit) = 0.000
- total moment (μB/cell) = 0.02

Cell: 6.0607 6.0607 6.0607 Å, 90.00 90.00 90.00°
Last column: nearest neighbours and their distance in Å.
Space group F-43m (No. 216)
Symmetry-distinct sites (fractional):
Tm: 0.0000 0.0000 0.0000 [4 per cell]  4 B 2.62
Hf: 0.0000 0.0000 0.5000 [4 per cell]  4 B 2.62
B: 0.2500 0.2500 0.7500 [4 per cell]  4 Hf 2.62, 4 Tm 2.62

***

7.
Here is a relaxed structure of GaPdCO from OQMD. Energies are from PBE.

Summary:
- total DFT energy (no corrections) (eV per atom) = -5.347

Cell: 3.2899 3.2899 30.4533 Å, 90.00 90.00 120.00°
Last column: nearest neighbours and their distance in Å.
Space group R-3m (No. 166, hexagonal axes)
Symmetry-distinct sites (fractional):
Ga: 0.0000 0.0000 0.2374 [6 per cell]  1 O 1.94, 3 C 2.05
Pd: 0.0000 0.0000 0.0000 [3 per cell]  6 O 2.14
Pd: 0.0000 0.0000 0.5000 [3 per cell]  6 C 2.35
C: 0.0000 0.0000 0.1214 [6 per cell]  3 Ga 2.05
O: 0.0000 0.0000 0.3010 [6 per cell]  1 Ga 1.94, 3 Pd 2.14

***

8.
Here is a relaxed structure of Gd2DyFeNi8 from OQMD. Energies are from PBE.

Summary:
- total moment (μB/cell) = 9.06
- formation energy from the elements (eV/atom) = -0.33

Cell: 4.9969 4.9969 24.2492 Å, 90.00 90.00 120.00°
Last column: nearest neighbours and their distance in Å.
Space group R-3m (No. 166, hexagonal axes)
Symmetry-distinct sites (fractional):
Gd: 0.0000 0.0000 0.1386 [6 per cell]  9 Ni 2.84-3.08, 3 Fe 2.96
Dy: 0.0000 0.0000 0.0000 [3 per cell]  18 Ni 2.88-3.20
Fe: 0.0000 0.0000 0.5000 [3 per cell]  6 Ni 2.50
Ni: 0.0000 0.0000 0.3332 [6 per cell]  6 Ni 2.46-2.47
Ni: 0.0005 0.5003 0.9175 [18 per cell]  6 Ni 2.46-2.50, 1 Fe 2.50